Entry 1:
An optimized crystal structure of Pr4TeAsPb2. Source: Alexandria, functional GGA-PBE.

a b c (Å): 4.398 8.115 7.680
angles (deg): 71.88 90.00 90.00
Sites, in units of the cell vectors:
Pr  0.000  0.740  0.741
Pr  0.000  0.260  0.259
Pr  0.500  0.729  0.269
Pr  0.500  0.271  0.731
Te  0.500  0.500  0.000
As  0.000  0.500  0.500
Pb  0.000  0.000  0.000
Pb  0.500  0.000  0.500

## Properties
Its size of the total moment is 0.00 μB/f.u. As for the uncorrected formation energy: -0.99 eV/atom. As for the crystal system: monoclinic.



Entry 2:
An optimized crystal structure of Pr8Te3AsPb4. Source: Alexandria, functional GGA-PBE.

a b c (Å): 9.029 9.173 9.032
angles (deg): 119.51 119.99 90.00
Sites, in units of the cell vectors:
Pr  0.241  0.742  0.001
Pr  0.241  0.742  0.483
Pr  0.248  0.245  0.497
Pr  0.760  0.742  0.001
Pr  0.240  0.258  0.999
Pr  0.752  0.755  0.503
Pr  0.759  0.258  0.517
Pr  0.759  0.258  0.999
Te  0.500  0.500  0.000
Te  0.500  0.500  0.500
Te  0.000  0.500  0.500
As  0.000  0.500  0.000
Pb  0.500  0.000  0.000
Pb  0.500  0.000  0.500
Pb  0.000  0.000  0.000
Pb  0.000  0.000  0.500

## Properties
Its size of the total moment is 0.00 μB/f.u. As for the uncorrected formation energy: -1.01 eV/atom. As for the crystal system: trigonal.



Entry 3:
An optimized crystal structure of Pr8Te4As3Pb. Source: Alexandria, functional GGA-PBE.

a b c (Å): 8.876 8.997 8.876
angles (deg): 119.56 120.00 90.00
Sites, in units of the cell vectors:
Pr  0.248  0.729  0.981
Pr  0.248  0.729  0.496
Pr  0.260  0.279  0.520
Pr  0.733  0.729  0.981
Pr  0.267  0.271  0.019
Pr  0.740  0.721  0.480
Pr  0.752  0.271  0.504
Pr  0.752  0.271  0.019
Te  0.500  0.000  0.000
Te  0.500  0.000  0.500
Te  0.000  0.000  0.000
Te  0.000  0.000  0.500
As  0.500  0.500  0.000
As  0.500  0.500  0.500
As  0.000  0.500  0.500
Pb  0.000  0.500  0.000

## Properties
Its size of the total moment is 0.00 μB/f.u. As for the uncorrected formation energy: -1.41 eV/atom. As for the crystal system: trigonal.



Entry 4:
An optimized crystal structure of AsPtPb3. Source: Alexandria, functional GGA-PBE.

a b c (Å): 5.371 5.371 5.371
angles (deg): 90.00 90.00 90.00
Sites, in units of the cell vectors:
Pb  0.000  0.500  0.000
Pb  0.000  0.000  0.500
Pb  0.500  0.000  0.000
As  0.500  0.500  0.500
Pt  0.000  0.000  0.000

## Properties
Its energy of formation from the pure elements is 0.23 eV per atom. Its size of the total moment is 0.00 μB/f.u. As for the crystal system: cubic. The energy above the most stable polymorph in this dataset comes out at 0.000 eV per atom.



Entry 5:
An optimized crystal structure of AsPtPb3. Source: Alexandria, functional GGA-PBE.

a b c (Å): 5.493 5.493 5.493
angles (deg): 90.00 90.00 90.00
Sites, in units of the cell vectors:
Pb  0.000  0.500  0.000
Pb  0.000  0.000  0.500
Pb  0.500  0.000  0.000
As  0.000  0.000  0.000
Pt  0.500  0.500  0.500

## Properties
Its energy of formation from the pure elements is 0.77 eV per atom. Its size of the total moment is 0.00 μB/f.u. As for the crystal system: cubic. The energy above the most stable polymorph in this dataset comes out at 0.538 eV per atom.



Entry 6:
An optimized crystal structure of As4PtPb. Source: Alexandria, functional GGA-PBE.

a b c (Å): 5.639 5.639 5.639
angles (deg): 60.00 60.00 60.00
Sites, in units of the cell vectors:
As  0.890  0.370  0.370
As  0.370  0.370  0.890
As  0.370  0.890  0.370
As  0.370  0.370  0.370
Pt  0.000  0.000  0.000
Pb  0.750  0.750  0.750

## Properties
Its energy of formation from the pure elements is 0.46 eV per atom. Its size of the total moment is 0.00 μB/f.u. As for the crystal system: cubic.